Model A:
PrTcC | PBE | relaxed

Properties
- Density of states at the Fermi level: 1.865 states/eV/f.u.

Structure (POSCAR):
```
PrTcC
1.0
-1.034 -1.137 4.519
1.578 -3.138 -0.429
1.872 2.782 1.128
Pr C Tc
1 1 1
Direct
0.667 0.667 0.333 Pr
0.167 0.000 0.000 C
0.167 0.333 0.667 Tc
```

Model B:
PrTcC | PBE | relaxed

Properties
- Density of states at the Fermi level: 1.385 states/eV/f.u.

Structure (POSCAR):
```
PrTcC
1.0
3.715 0.000 -0.010
0.000 5.799 0.000
0.014 0.000 5.339
Pr C Tc
2 2 2
Direct
0.500 0.750 0.753 Pr
0.500 0.250 0.247 Pr
0.000 0.500 0.500 C
0.000 0.000 0.500 C
0.000 0.750 0.266 Tc
0.000 0.250 0.734 Tc
```

Model C:
PrTcC | PBE | relaxed

Properties
- Density of states at the Fermi level: 2.805 states/eV/f.u.

Structure (POSCAR):
```
PrTcC
1.0
2.986 0.000 0.000
0.000 2.986 0.000
-1.493 -1.493 5.359
C Tc Pr
1 1 1
Direct
0.724 0.724 0.448 C
0.275 0.275 0.550 Tc
0.001 0.001 0.002 Pr
```

Model D:
PrTcC | PBE | relaxed

Properties
- Density of states at the Fermi level: 2.827 states/eV/f.u.

Structure (POSCAR):
```
PrTcC
1.0
-3.380 -0.583 0.301
0.654 -0.779 5.831
0.600 5.886 -1.547
Tc Pr C
2 2 2
Direct
0.668 0.851 0.335 Tc
0.332 0.149 0.665 Tc
0.106 0.315 0.212 Pr
0.894 0.685 0.788 Pr
0.240 0.775 0.480 C
0.760 0.225 0.520 C
```

Pick model D: it beats the second-best structure by 23 meV per atom.

Model A:
Pr4Te2C | PBE | relaxed

Properties
- Density of states at the Fermi level: 6.953 states/eV/f.u.

Structure (POSCAR):
```
Pr4Te2C
1.0
4.947 0.000 0.000
0.000 4.947 0.000
2.473 2.473 8.336
C Te Pr
1 2 4
Direct
0.000 0.000 0.000 C
0.359 0.359 0.282 Te
0.641 0.641 0.718 Te
0.163 0.163 0.675 Pr
0.500 0.000 0.000 Pr
0.837 0.837 0.325 Pr
0.000 0.500 0.000 Pr
```

Model B:
Pr4Te2C | PBE | relaxed

Properties
- Density of states at the Fermi level: 5.559 states/eV/f.u.

Structure (POSCAR):
```
Pr4Te2C
1.0
-1.818 -2.600 2.527
6.292 -3.492 0.933
-0.613 7.385 3.903
Pr C Te
4 1 2
Direct
0.105 0.813 0.210 Pr
0.895 0.187 0.790 Pr
0.599 0.245 0.197 Pr
0.401 0.755 0.803 Pr
0.000 0.000 0.000 C
0.739 0.731 0.479 Te
0.261 0.269 0.521 Te
```

Pick model B: it beats the second-best structure by 22 meV per atom.

Model A:
PrTeC | PBE | relaxed

Properties
- Density of states at the Fermi level: 0.417 states/eV/f.u.

Structure (POSCAR):
```
PrTeC
1.0
-1.758 3.499 1.152
-1.567 -0.195 5.990
5.507 3.073 4.254
Te Pr C
2 2 2
Direct
0.139 0.903 0.441 Te
0.456 0.490 0.154 Te
0.728 0.965 0.070 Pr
0.867 0.428 0.526 Pr
0.189 0.149 0.855 C
0.405 0.245 0.741 C
```

Model B:
PrTeC | PBE | relaxed

Properties
- Density of states at the Fermi level: 0.058 states/eV/f.u.

Structure (POSCAR):
```
PrTeC
1.0
-0.881 -0.844 4.009
3.010 -5.170 -2.616
3.158 6.928 2.152
C Pr Te
2 2 2
Direct
0.492 0.983 0.070 C
0.508 0.017 0.930 C
0.994 0.989 0.256 Pr
0.006 0.011 0.744 Pr
0.303 0.605 0.305 Te
0.697 0.395 0.695 Te
```

Pick model A: it beats the second-best structure by 45 meV per atom.

Model A:
PrThC | PBE | relaxed

Properties
- Density of states at the Fermi level: 3.093 states/eV/f.u.

Structure (POSCAR):
```
PrThC
1.0
4.130 -0.182 -0.266
0.006 6.128 -0.163
1.086 1.564 6.182
C Th Pr
2 2 2
Direct
0.609 0.940 0.065 C
0.391 0.060 0.935 C
0.957 0.182 0.732 Th
0.043 0.818 0.268 Th
0.557 0.306 0.216 Pr
0.443 0.694 0.784 Pr
```

Model B:
PrThC | PBE | relaxed

Properties
- Density of states at the Fermi level: 2.898 states/eV/f.u.

Structure (POSCAR):
```
PrThC
1.0
-1.325 6.090 2.019
-3.608 -0.724 -0.184
1.849 -0.633 3.123
Th Pr C
1 1 1
Direct
0.213 0.333 0.667 Th
0.774 0.667 0.333 Pr
0.013 0.000 0.000 C
```

Pick model B: it beats the second-best structure by 108 meV per atom.

Model A:
PrThC | PBE | relaxed

Properties
- Density of states at the Fermi level: 2.660 states/eV/f.u.

Structure (POSCAR):
```
PrThC
1.0
-0.883 1.865 2.618
-1.065 -2.732 1.587
6.719 -0.355 0.396
Pr Th C
1 1 1
Direct
0.964 0.964 0.927 Pr
0.725 0.725 0.451 Th
0.311 0.311 0.622 C
```

Model B:
PrThC | PBE | relaxed

Properties
- Density of states at the Fermi level: 2.988 states/eV/f.u.

Structure (POSCAR):
```
PrThC
1.0
-0.140 -0.961 3.545
-2.901 -4.306 -1.282
6.596 -4.184 -0.872
Pr C Th
2 2 2
Direct
0.500 0.500 0.156 Pr
0.000 0.000 0.844 Pr
0.500 0.000 0.608 C
0.000 0.500 0.392 C
0.500 0.500 0.611 Th
0.000 0.000 0.389 Th
```

Pick model B: it beats the second-best structure by 470 meV per atom.

Model A:
PrTh3C3 | PBE | relaxed

Properties
- Density of states at the Fermi level: 5.205 states/eV/f.u.

Structure (POSCAR):
```
PrTh3C3
1.0
-3.734 -3.757 0.233
3.656 -3.541 1.486
-0.897 1.208 5.084
Pr Th C
1 3 3
Direct
0.043 0.043 0.043 Pr
0.543 0.043 0.543 Th
0.543 0.543 0.043 Th
0.043 0.543 0.543 Th
0.043 0.543 0.043 C
0.543 0.043 0.043 C
0.043 0.043 0.543 C
```

Model B:
PrTh3C3 | PBE | relaxed

Properties
- Density of states at the Fermi level: 4.994 states/eV/f.u.

Structure (POSCAR):
```
PrTh3C3
1.0
5.350 0.000 0.000
0.000 7.536 -0.141
0.000 0.166 7.536
Pr Th C
2 6 6
Direct
0.250 0.634 0.366 Pr
0.750 0.366 0.634 Pr
0.750 0.881 0.631 Th
0.750 0.369 0.119 Th
0.250 0.631 0.881 Th
0.250 0.119 0.369 Th
0.250 0.121 0.879 Th
0.750 0.879 0.121 Th
0.250 0.882 0.629 C
0.750 0.629 0.882 C
0.750 0.119 0.881 C
0.750 0.118 0.371 C
0.250 0.371 0.118 C
0.250 0.881 0.119 C
```

Pick model B: it beats the second-best structure by 111 meV per atom.

Model A:
Pr6Tl2C | PBE | relaxed

Properties
- Density of states at the Fermi level: 9.801 states/eV/f.u.

Structure (POSCAR):
```
Pr6Tl2C
1.0
3.693 0.000 0.000
0.000 9.324 0.000
0.000 -4.662 7.744
Pr Tl C
6 2 1
Direct
0.500 0.996 0.596 Pr
0.500 0.581 0.000 Pr
0.500 0.400 0.404 Pr
0.000 0.227 0.000 Pr
0.000 0.999 0.209 Pr
0.000 0.790 0.791 Pr
0.000 0.662 0.341 Tl
0.000 0.321 0.659 Tl
0.500 0.024 0.000 C
```

Model B:
Pr6Tl2C | PBE | relaxed

Properties
- Density of states at the Fermi level: 6.422 states/eV/f.u.

Structure (POSCAR):
```
Pr6Tl2C
1.0
7.241 0.000 -0.192
0.000 7.244 0.000
0.270 0.000 10.244
Pr C Tl
12 2 4
Direct
0.245 0.245 0.500 Pr
0.000 0.000 0.256 Pr
0.755 0.755 0.500 Pr
0.500 0.500 0.244 Pr
0.255 0.745 0.000 Pr
0.745 0.255 0.000 Pr
0.745 0.745 0.000 Pr
0.755 0.245 0.500 Pr
0.500 0.500 0.756 Pr
0.000 0.000 0.744 Pr
0.255 0.255 0.000 Pr
0.245 0.755 0.500 Pr
0.000 0.000 0.500 C
0.500 0.500 0.000 C
0.000 0.500 0.250 Tl
0.000 0.500 0.750 Tl
0.500 0.000 0.250 Tl
0.500 0.000 0.750 Tl
```

Pick model B: it beats the second-best structure by 151 meV per atom.

Model A:
PrUC | PBE | relaxed

Properties
- Density of states at the Fermi level: 5.161 states/eV/f.u.

Structure (POSCAR):
```
PrUC
1.0
3.144 0.000 0.000
0.000 3.144 0.000
-1.572 -1.572 6.152
Pr U C
1 1 1
Direct
0.974 0.974 0.949 Pr
0.726 0.726 0.453 U
0.299 0.299 0.599 C
```

Model B:
PrUC | PBE | relaxed

Properties
- Density of states at the Fermi level: 4.982 states/eV/f.u.

Structure (POSCAR):
```
PrUC
1.0
6.458 0.000 0.000
0.000 3.463 0.000
0.000 -1.732 2.999
Pr U C
1 1 1
Direct
0.758 0.667 0.333 Pr
0.216 0.333 0.667 U
0.026 0.000 0.000 C
```

Pick model B: it beats the second-best structure by 271 meV per atom.

Model A:
PrVC | PBE | relaxed

Properties
- Density of states at the Fermi level: 1.740 states/eV/f.u.

Structure (POSCAR):
```
PrVC
1.0
4.710 0.000 0.000
0.000 3.561 0.000
0.000 -1.780 3.084
V Pr C
1 1 1
Direct
0.167 0.000 0.000 V
0.666 0.667 0.333 Pr
0.167 0.333 0.667 C
```

Model B:
PrVC | PBE | relaxed

Properties
- Density of states at the Fermi level: 3.076 states/eV/f.u.

Structure (POSCAR):
```
PrVC
1.0
4.182 0.000 0.000
0.000 3.886 0.000
-2.091 -1.943 6.794
Pr V C
2 2 2
Direct
0.334 0.834 0.668 Pr
0.666 0.166 0.332 Pr
0.242 0.500 0.000 V
0.758 0.500 0.000 V
0.137 0.637 0.273 C
0.863 0.363 0.727 C
```

Pick model A: it beats the second-best structure by 229 meV per atom.

Model A:
Pr3ZnC | PBE | relaxed

Properties
- Density of states at the Fermi level: 5.090 states/eV/f.u.

Structure (POSCAR):
```
Pr3ZnC
1.0
3.776 0.000 0.000
1.888 7.637 0.505
0.001 -0.176 9.003
Pr Zn C
6 2 2
Direct
0.090 0.174 0.582 Pr
0.794 0.768 0.634 Pr
0.691 0.973 0.271 Pr
0.392 0.573 0.342 Pr
0.993 0.372 0.032 Pr
0.289 0.778 0.980 Pr
0.628 0.101 0.866 Zn
0.455 0.444 0.748 Zn
0.845 0.666 0.157 C
0.238 0.880 0.457 C
```

Model B:
Pr3ZnC | PBE | relaxed

Properties
- Density of states at the Fermi level: 4.716 states/eV/f.u.

Structure (POSCAR):
```
Pr3ZnC
1.0
-3.605 -3.431 -1.248
3.473 -2.683 -2.657
1.125 -2.712 4.208
Pr Zn C
3 1 1
Direct
0.500 0.000 0.000 Pr
0.000 0.500 0.000 Pr
0.000 0.000 0.500 Pr
0.500 0.500 0.500 Zn
0.000 0.000 0.000 C
```

Pick model A: it beats the second-best structure by 92 meV per atom.

Model A:
PrZnC | PBE | relaxed

Properties
- Density of states at the Fermi level: 1.786 states/eV/f.u.

Structure (POSCAR):
```
PrZnC
1.0
-1.305 -2.701 -2.452
-0.085 -2.581 2.888
-7.519 4.953 1.607
Pr Zn C
2 2 2
Direct
0.678 0.678 0.356 Pr
0.322 0.322 0.644 Pr
0.068 0.068 0.135 Zn
0.932 0.932 0.865 Zn
0.180 0.180 0.359 C
0.820 0.820 0.641 C
```

Model B:
PrZnC | PBE | relaxed

Properties
- Density of states at the Fermi level: 1.863 states/eV/f.u.

Structure (POSCAR):
```
PrZnC
1.0
3.930 0.000 0.000
-1.965 3.775 -0.904
0.000 -0.132 8.063
C Pr Zn
2 2 2
Direct
0.585 0.170 0.041 C
0.415 0.830 0.959 C
0.908 0.816 0.192 Pr
0.092 0.184 0.808 Pr
0.343 0.685 0.501 Zn
0.657 0.315 0.499 Zn
```

Pick model B: it beats the second-best structure by 369 meV per atom.

Model A:
Pt3C2 | PBE | relaxed

Properties
- Density of states at the Fermi level: 1.803 states/eV/f.u.

Structure (POSCAR):
```
Pt3C2
1.0
2.175 -3.767 0.000
2.175 3.767 0.000
0.000 0.000 4.027
Pt C
3 2
Direct
0.333 0.667 0.312 Pt
0.667 0.333 0.688 Pt
0.000 0.000 0.000 Pt
0.333 0.667 0.806 C
0.667 0.333 0.194 C
```

Model B:
Pt3C2 | PBE | relaxed

Properties
- Density of states at the Fermi level: 2.444 states/eV/f.u.

Structure (POSCAR):
```
Pt3C2
1.0
-3.353 2.581 -5.842
-3.378 -0.582 -6.347
-5.606 0.759 -4.476
Pt C
3 2
Direct
0.000 0.000 0.000 Pt
0.218 0.218 0.218 Pt
0.782 0.782 0.782 Pt
0.599 0.599 0.599 C
0.401 0.401 0.401 C
```

Pick model B: it beats the second-best structure by 258 meV per atom.